KTl2ZnPd, relaxed, DFT PBE-GGA; energy relative to the elements = -0.0808 eV per atom; total DFT energy (no corrections) = -2.54 eV/atom
1.0
5.420 0.000 0.000
0.000 5.420 0.000
0.000 0.000 5.044
K Tl Zn Pd
1 2 1 1
Direct
0.000 0.000 0.000 K
0.000 0.500 0.500 Tl
0.500 0.000 0.500 Tl
0.500 0.500 0.000 Zn
0.500 0.500 0.500 Pd

***

Sr2TlRe, relaxed, DFT PBE-GGA; energy relative to the elements = 1.1946 eV per atom; relative energy among the computed polymorphs = 585 meV per atom; total DFT energy (no corrections) = -3.35 eV/atom
1.0
-2.395 2.395 10.828
2.395 -2.395 10.828
2.395 2.395 -10.828
Sr Tl Re
4 2 2
Direct
0.108 0.625 0.983 Sr
0.375 0.358 0.483 Sr
0.642 0.125 0.017 Sr
0.875 0.892 0.517 Sr
0.250 0.750 0.500 Tl
0.500 0.500 0.000 Tl
0.000 0.000 0.000 Re
0.750 0.250 0.500 Re

***

Ba2ReW, relaxed, DFT PBE-GGA; energy relative to the elements = 1.8246 eV per atom; relative energy among the computed polymorphs = 1253 meV per atom; total DFT energy (no corrections) = -5.49 eV/atom
1.0
1.533 0.885 12.098
-1.533 0.885 12.098
0.000 -1.770 12.098
Ba Re W
2 1 1
Direct
0.248 0.248 0.248 Ba
0.752 0.752 0.752 Ba
0.500 0.500 0.500 Re
0.000 0.000 0.000 W

***

HoHg2Au, relaxed, DFT PBE-GGA; energy relative to the elements = -0.4027 eV per atom; relative energy among the computed polymorphs = 39 meV per atom; total DFT energy (no corrections) = -2.52 eV/atom
1.0
0.000 3.520 3.520
3.520 0.000 3.520
3.520 3.520 0.000
Ho Hg Au
1 2 1
Direct
0.000 0.000 0.000 Ho
0.250 0.250 0.250 Hg
0.750 0.750 0.750 Hg
0.500 0.500 0.500 Au

***

NaSeBr2, relaxed, DFT PBE-GGA; relative energy among the computed polymorphs = 338 meV per atom; formation energy without anion corrections = -0.2207 eV/atom; total DFT energy (no corrections) = -2.26 eV/atom
1.0
0.000 3.829 3.829
3.829 0.000 3.829
3.829 3.829 0.000
Na Se Br
1 1 2
Direct
0.000 0.000 0.000 Na
0.500 0.500 0.500 Se
0.250 0.250 0.250 Br
0.750 0.750 0.750 Br

***

PrPtC, relaxed, DFT PBE-GGA; energy relative to the elements = -0.1733 eV per atom; total DFT energy (no corrections) = -6.85 eV/atom
1.0
3.976 0.000 0.000
0.000 3.922 0.000
-1.988 0.000 7.664
Pr Pt C
2 2 2
Direct
0.160 0.250 0.319 Pr
0.840 0.750 0.681 Pr
0.445 0.250 0.891 Pt
0.555 0.750 0.109 Pt
0.320 0.250 0.642 C
0.680 0.750 0.358 C

***

SmTmHgRu, relaxed, DFT PBE-GGA; energy relative to the elements = -0.4544 eV per atom; relative energy among the computed polymorphs = 0 meV per atom; total DFT energy (no corrections) = -5.15 eV/atom
1.0
3.486 0.000 0.000
0.000 3.486 0.000
0.000 0.000 7.568
Sm Tm Hg Ru
1 1 1 1
Direct
0.000 0.000 0.000 Sm
0.000 0.000 0.560 Tm
0.500 0.500 0.295 Hg
0.500 0.500 0.769 Ru

***

Nd3Ho4Al, relaxed, DFT PBE-GGA; energy relative to the elements = -0.0864 eV per atom; total DFT energy (no corrections) = -4.63 eV/atom
1.0
3.577 0.000 0.000
0.000 3.577 0.000
0.000 0.000 19.199
Nd Ho Al
3 4 1
Direct
0.000 0.000 0.000 Nd
0.000 0.000 0.268 Nd
0.000 0.000 0.732 Nd
0.500 0.500 0.134 Ho
0.500 0.500 0.403 Ho
0.500 0.500 0.597 Ho
0.500 0.500 0.866 Ho
0.000 0.000 0.500 Al